1.
Here is a relaxed structure of Ho3AuO from Alexandria. Energies are from PBE.

V, Å³/atom: 20.64
ΔE_f (raw), meV per atom: -1463

a b c (Å): 4.6907 4.6907 4.6907
angles (deg): 90.00 90.00 90.00
With the nearest neighbours (Å) after each atom.
Space group Pm-3m (No. 221)
Inequivalent atoms, fractional coordinates:
Ho (0.0000, 0.0000, 0.5000) x3  2 O 2.35
Au (0.5000, 0.5000, 0.5000) x1  12 Ho 3.32
O (0.0000, 0.0000, 0.0000) x1  6 Ho 2.35



2.
Here is a relaxed structure of Sm7YHo2 from Alexandria. Energies are from PBE.

V, Å³/atom: 40.64
Offset from the most stable computed form, meV per atom: 642

a b c (Å): 8.7624 16.6700 5.5647
angles (deg): 90.00 90.00 90.00
With the nearest neighbours (Å) after each atom.
Space group Cmmm (No. 65)
Inequivalent atoms, fractional coordinates:
Sm (0.0000, 0.0000, 0.0000) x2  4 Sm 3.38, 2 Ho 3.42
Sm (0.0000, 0.2889, 0.5000) x4  2 Ho 3.11
Sm (0.1783, 0.3878, 0.0000) x8  2 Sm 3.12-3.38, 2 Ho 3.22-3.42
Y (0.0000, 0.5000, 0.5000) x2  10 Sm 3.52-3.70
Ho (0.0000, 0.2050, 0.0000) x4  7 Sm 3.11-3.42



Calculated values (eV per cell) of raw total energy for the records, taken in order: -29.3 -84.1.